The following is a DFT calculation (PBE-GGA) of crystalline NaPuNbO6 at its relaxed geometry.

a b c (Å): 5.5349 5.5349 10.1695
angles (deg): 90.00 90.00 120.00
Positions (direct):
Na 0.0000 0.0000 0.0000
Na 0.0000 0.0000 0.5000
Pu 0.3333 0.6667 0.2500
Pu 0.6667 0.3333 0.7500
Nb 0.3333 0.6667 0.7500
Nb 0.6667 0.3333 0.2500
O 0.0060 0.3758 0.6448
O 0.0060 0.6303 0.8552
O 0.3697 0.3758 0.8552
O 0.3697 0.9940 0.6448
O 0.3758 0.0060 0.1448
O 0.3758 0.3697 0.3552
O 0.6242 0.6303 0.6448
O 0.6242 0.9940 0.8552
O 0.6303 0.0060 0.3552
O 0.6303 0.6242 0.1448
O 0.9940 0.3697 0.1448
O 0.9940 0.6242 0.3552

SG: P-31c, No. 163
ΔE_f (raw) in meV per atom: -2392
Crystal system: trigonal

---

The following is a DFT calculation (PBE-GGA) of crystalline RbNa2Nb2O7 at its relaxed geometry.

a b c (Å): 9.6564 9.6564 9.6564
angles (deg): 156.53 41.95 145.73
Positions (direct):
Rb 0.0000 0.0000 0.0000
Na 0.2181 0.4912 0.7269
Na 0.7643 0.4912 0.2731
Nb 0.3971 0.0053 0.3918
Nb 0.6135 0.0053 0.6082
O 0.1911 0.8986 0.2925
O 0.3235 0.4244 0.8992
O 0.3914 0.8914 0.5000
O 0.5252 0.4244 0.1008
O 0.6061 0.8986 0.7075
O 0.7144 0.3243 0.3901
O 0.9342 0.3243 0.6099

SG: Imm2, No. 44
ΔE_f (raw) in meV per atom: -2152
Crystal system: orthorhombic

---

The following is a DFT calculation (PBE-GGA) of crystalline RbNa2NbO4 at its relaxed geometry.

a b c (Å): 5.7958 5.7958 5.7958
angles (deg): 117.89 117.89 93.70
Positions (direct):
Rb 0.0000 0.0000 0.0000
Na 0.2500 0.7500 0.5000
Na 0.7500 0.2500 0.5000
Nb 0.5000 0.5000 0.0000
O 0.1808 0.1808 0.6349
O 0.4541 0.8192 0.0000
O 0.5459 0.5459 0.3651
O 0.8192 0.4541 0.0000

SG: I-42m, No. 121
ΔE_f (raw) in meV per atom: -2161
Crystal system: tetragonal

---

The following is a DFT calculation (PBE-GGA) of crystalline RbNaNb2O6 at its relaxed geometry.

a b c (Å): 8.0192 8.0192 6.7453
angles (deg): 104.19 104.19 99.90
Positions (direct):
Rb 0.1095 0.8905 0.7500
Rb 0.8905 0.1095 0.2500
Na 0.2046 0.7954 0.2500
Na 0.7954 0.2046 0.7500
Nb 0.2774 0.4221 0.8215
Nb 0.4221 0.2774 0.3215
Nb 0.5779 0.7226 0.6785
Nb 0.7226 0.5779 0.1785
O 0.0814 0.2374 0.7091
O 0.1954 0.6117 0.9221
O 0.2374 0.0814 0.2091
O 0.3582 0.4231 0.5614
O 0.3883 0.8046 0.5779
O 0.4231 0.3582 0.0614
O 0.5769 0.6418 0.9386
O 0.6117 0.1954 0.4221
O 0.6418 0.5769 0.4386
O 0.7626 0.9186 0.7909
O 0.8046 0.3883 0.0779
O 0.9186 0.7626 0.2909

SG: C2/c, No. 15
ΔE_f (raw) in meV per atom: -2366
Crystal system: monoclinic

---

The following is a DFT calculation (PBE-GGA) of crystalline Rb2NaNb2O7 at its relaxed geometry.

a b c (Å): 4.0648 4.0648 11.7137
angles (deg): 99.59 99.59 89.94
Positions (direct):
Rb 0.1942 0.1942 0.3811
Rb 0.8058 0.8058 0.6189
Na 0.0000 0.0000 0.0000
Nb 0.3914 0.3914 0.8160
Nb 0.6086 0.6086 0.1840
O 0.0855 0.5843 0.1704
O 0.3278 0.3278 0.6502
O 0.4157 0.9145 0.8296
O 0.5000 0.5000 0.0000
O 0.5843 0.0855 0.1704
O 0.6722 0.6722 0.3498
O 0.9145 0.4157 0.8296

SG: C2/m, No. 12
ΔE_f (raw) in meV per atom: -2149
Crystal system: monoclinic

---

The following is a DFT calculation (PBE-GGA) of crystalline Rb2NaNbO4 at its relaxed geometry.

a b c (Å): 12.1930 10.8037 6.9378
angles (deg): 83.80 61.75 34.45
Positions (direct):
Rb 0.0524 0.0524 0.6976
Rb 0.3024 0.3024 0.9476
Rb 0.6976 0.6976 0.0524
Rb 0.9476 0.9476 0.3024
Na 0.1250 0.1250 0.1250
Na 0.8750 0.8750 0.8750
Nb 0.3750 0.3750 0.3750
Nb 0.6250 0.6250 0.6250
O 0.0356 0.6190 0.5400
O 0.3055 0.5400 0.6190
O 0.3810 0.9644 0.6945
O 0.4600 0.6945 0.9644
O 0.5400 0.3055 0.0356
O 0.6190 0.0356 0.3055
O 0.6945 0.4600 0.3810
O 0.9644 0.3810 0.4600

SG: Fddd, No. 70
ΔE_f (raw) in meV per atom: -1945
Crystal system: orthorhombic

---

Which of these has the lowest ΔE_f (raw)? NaPuNbO6